PaAs2Rh3 | GGA-PBE | relaxed Values from VASP.

The structure in Quantum ESPRESSO input format:
```
&SYSTEM
  ibrav = 0, nat = 18, ntyp = 3
/
ATOMIC_SPECIES
Rh 102.91 Rh.upf
As 74.92 As.upf
Pa 231.04 Pa.upf
CELL_PARAMETERS angstrom
3.974 0.000 0.000
-1.987 7.813 -2.587
0.000 -0.029 9.948
ATOMIC_POSITIONS crystal
Rh 0.500 0.000 0.500
As 0.195 0.390 0.125
As 0.548 0.096 0.779
Rh 0.039 0.078 0.330
Pa 0.840 0.679 0.308
As 0.635 0.270 0.444
Pa 0.160 0.321 0.692
Rh 0.318 0.636 0.034
Rh 0.394 0.787 0.817
Rh 0.606 0.213 0.183
As 0.452 0.904 0.221
As 0.365 0.730 0.556
Pa 0.000 0.000 0.000
Rh 0.227 0.454 0.384
Rh 0.961 0.922 0.670
Rh 0.773 0.546 0.616
Rh 0.682 0.364 0.966
As 0.805 0.610 0.875
```

Summary:
- raw total energy (eV per atom) = -7.579
- formation energy from the elements (meV per atom) = -771.2